Density functional theory data (PBE-GGA) for crystalline BaPtSe at its relaxed geometry.

E: -4.972 eV/atom

a b c (Å): 5.572 9.274 6.921
angles (deg): 90.00 90.00 90.00
Space group Imm2 (No. 44)
Unique sites:
Ba: 0.000 0.246 0.000
Pt: 0.250 0.000 0.258
Se: 0.000 0.000 0.560
Se: 0.000 0.500 0.455